(1)
An optimized crystal structure of NaCrSbTe2. Source: Alexandria, functional GGA-PBEsol.

Unit cell a=5.3304 b=5.3304 c=5.0035 alpha=90.00 beta=90.00 gamma=90.00
Space group P4/mmm (No. 123)
Unique sites:
Na1 0.0000 0.0000 0.0000 x1
Cr1 0.5000 0.5000 0.5000 x1
Sb1 0.5000 0.5000 0.0000 x1
Te1 0.0000 0.5000 0.5000 x2

Computed properties:
Formation energy (no corrections): 82 meV/atom
Raw total energy: -4.568 eV/atom



(2)
An optimized crystal structure of NaSc2Cr2. Source: Alexandria, functional GGA-PBEsol.

Unit cell a=3.2194 b=3.2194 c=20.9216 alpha=90.00 beta=90.00 gamma=90.00
Space group I4/mmm (No. 139)
Unique sites:
Na1 0.0000 0.0000 0.0000 x2
Sc1 0.0000 0.0000 0.3570 x4
Cr1 0.0000 0.5000 0.2500 x4

Computed properties:
Raw total energy: -6.512 eV/atom



(3)
An optimized crystal structure of Na3ScCr. Source: Alexandria, functional GGA-PBEsol.

Unit cell a=5.9461 b=5.9461 c=5.9461 alpha=90.00 beta=90.00 gamma=90.00
Space group Pm-3m (No. 221)
Unique sites:
Na1 0.0000 0.0000 0.5000 x3
Sc1 0.0000 0.0000 0.0000 x1
Cr1 0.5000 0.5000 0.5000 x1

Computed properties:
Raw total energy: -2.678 eV/atom



(4)
An optimized crystal structure of Na3Cr11Se20. Source: Alexandria, functional GGA-PBEsol.

Unit cell a=25.2354 b=3.5920 c=19.2663 alpha=90.00 beta=127.26 gamma=90.00
Space group Cm (No. 8)
Unique sites:
Na1 0.0000 0.0000 0.0000 x2
Na2 0.1293 0.5000 0.2374 x2
Na3 0.3598 0.0000 0.7052 x2
Cr1 0.0869 0.0000 0.8720 x2
Cr2 0.1014 0.0000 0.4440 x2
Cr3 0.1853 0.5000 0.0796 x2
Cr4 0.1976 0.5000 0.6597 x2
Cr5 0.2881 0.0000 0.2690 x2
Cr6 0.2911 0.0000 0.8535 x2
Cr7 0.2986 0.5000 0.0604 x2
Cr8 0.3843 0.5000 0.4847 x2
Cr9 0.4854 0.0000 0.6696 x2
Cr10 0.4918 0.5000 0.4596 x2
Cr11 0.4983 0.0000 0.2484 x2
Se1 0.0083 0.0000 0.6021 x2
Se2 0.0177 0.0000 0.1789 x2
Se3 0.0676 0.5000 0.9468 x2
Se4 0.0785 0.5000 0.5205 x2
Se5 0.1055 0.5000 0.8024 x2
Se6 0.1190 0.5000 0.3767 x2
Se7 0.1668 0.0000 0.1490 x2
Se8 0.1720 0.0000 0.7220 x2
Se9 0.2070 0.0000 0.0046 x2
Se10 0.2143 0.0000 0.5826 x2
Se11 0.2625 0.5000 0.9122 x2
Se12 0.2723 0.5000 0.3446 x2
Se13 0.3100 0.5000 0.1998 x2
Se14 0.3151 0.5000 0.7858 x2
Se15 0.3634 0.0000 0.5494 x2
Se16 0.3777 0.0000 0.1075 x2
Se17 0.3999 0.0000 0.9804 x2
Se18 0.4060 0.0000 0.4049 x2
Se19 0.4688 0.5000 0.7450 x2
Se20 0.4769 0.5000 0.3188 x2

Computed properties:
Formation energy (no corrections): -519 meV/atom
Raw total energy: -6.221 eV/atom



The calculation returns the following calculated volume values, one per record and in order: 28.43; 21.68; 42.05; 20.44 Å³/atom.